Below is an optimized crystal structure of CrBiI2O, with properties calculated at the GGA+U level.

Results
The total energy comes out at -4.27 eV per atom. As for the energy relative to the lowest polymorph listed for this composition: 0 meV/atom. As for the total magnetic moment: 3.3 μB/f.u.

Lattice parameters (Å, degrees): 5.974 5.974 3.715 90.00 90.00 90.00
Space group P4/mmm (No. 123)
Symmetry-distinct sites (fractional):
Cr  0.000  0.000  0.000 [1 per cell]
Bi  0.500  0.500  0.500 [1 per cell]
I  0.000  0.500  0.000 [2 per cell]
O  0.000  0.000  0.500 [1 per cell]